Entry 1:
A plane-wave DFT calculation with PBE-GGA was carried out for a relaxed structure of ZrIn2Au.

The energy of formation from the pure elements comes out at -214 meV/atom. The calculation puts the distance to the lowest polymorph of the same formula at 0.147 eV per atom. The value obtained for the electronic total energy is -18.158 eV per cell.

The space group is P4mm (No. 99) and the conventional cell measures 3.4152, 3.4152 and 7.6375 Å, with angles of 90.00, 90.00 and 90.00 degrees. The inequivalent atoms are Zr at (0.0000, 0.0000, 0.0000), In at (0.0000, 0.0000, 0.4555), In at (0.5000, 0.5000, 0.7414) and Au at (0.5000, 0.5000, 0.2235).

---

Entry 2:
A plane-wave DFT calculation with PBE-GGA was carried out for a relaxed structure of B2C3.

The energy of formation from the pure elements comes out at 301 meV/atom. The calculation puts the distance to the lowest polymorph of the same formula at 0.065 eV per atom. The value obtained for the electronic total energy is -158.089 eV per cell.

The space group is Imma (No. 74) and the conventional cell measures 2.4615, 2.4893 and 21.1024 Å, with angles of 90.00, 90.00 and 90.00 degrees. The inequivalent atoms are B at (0.0000, 0.2500, 0.0303), B at (0.0000, 0.2500, 0.4069), C at (0.0000, 0.2500, 0.2290), C at (0.0000, 0.2500, 0.6438) and C at (0.0000, 0.2500, 0.8149).

---

Entry 3:
A plane-wave DFT calculation with PBE-GGA was carried out for a relaxed structure of NdTa2Ru3.

The energy of formation from the pure elements comes out at -341 meV/atom. The value obtained for the electronic total energy is -58.346 eV per cell.

The space group is P4/mmm (No. 123) and the conventional cell measures 3.1752, 3.1752 and 10.6994 Å, with angles of 90.00, 90.00 and 90.00 degrees. The inequivalent atoms are Nd at (0.0000, 0.0000, 0.0000), Ta at (0.0000, 0.0000, 0.3434), Ru at (0.5000, 0.5000, 0.2138) and Ru at (0.5000, 0.5000, 0.5000).

---

Entry 4:
A plane-wave DFT calculation with PBE-GGA was carried out for a relaxed structure of Ac6NdMg.

The energy of formation from the pure elements comes out at 25 meV/atom. The value obtained for the electronic total energy is -61.624 eV per cell.

The space group is I4/mmm (No. 139) and the conventional cell measures 5.5260, 5.5260 and 21.4866 Å, with angles of 90.00, 90.00 and 90.00 degrees. The inequivalent atoms are Ac at (0.0000, 0.0000, 0.2503), Ac at (0.0000, 0.5000, 0.1178), Nd at (0.0000, 0.0000, 0.0000) and Mg at (0.0000, 0.0000, 0.5000).